(1)
Density functional theory data (PBE-GGA) for an optimized crystal structure of Y8Co2Rh.

a b c (Å): 5.9954 7.4010 7.4010
angles (deg): 113.00 99.82 99.82
Atoms (fractional coordinates):
Y1 0.1730 0.3634 0.3634
Y2 0.3866 0.6647 0.9283
Y3 0.9874 0.2184 0.7862
Y4 0.8019 0.6392 0.6392
Y5 0.3866 0.9283 0.6647
Rh1 0.1364 0.9984 0.9984
Y6 0.5817 0.3448 0.0799
Co1 0.4884 0.6949 0.3158
Y7 0.9874 0.7862 0.2184
Y8 0.5817 0.0799 0.3448
Co2 0.4884 0.3158 0.6949

Output
energy of formation = -15.6 kJ/mol of atoms
space-group type = No. 8



(2)
Density functional theory data (PBE-GGA) for an optimized crystal structure of AsOsBr2.

a b c (Å): 8.8528 8.8528 8.8528
angles (deg): 23.47 23.47 23.47
Each line ends with the local moment (μB).
Atoms (fractional coordinates):
As1 0.7710 0.7710 0.7710  -0.04
Os1 0.4863 0.4863 0.4863  0.95
Br1 0.2211 0.2211 0.2211  0.05
Br2 0.0216 0.0216 0.0216  -0.02

Output
polymorph energy (0 for the lowest one) = 0.87 eV per formula unit
formation energy from raw total energies = 1.226 eV/f.u.
space-group type = No. 160



(3)
Density functional theory data (PBE-GGA) for an optimized crystal structure of K6Cd2In.

a b c (Å): 6.0137 6.7539 12.1334
angles (deg): 105.16 90.00 116.44
Atoms (fractional coordinates):
Cd1 0.8636 0.7273 0.7562
K1 0.1783 0.3566 0.5633
K2 0.5421 0.0843 0.7391
K3 0.8217 0.6434 0.4367
K4 0.2975 0.5949 0.9166
In1 0.0000 0.0000 0.0000
Cd2 0.1364 0.2727 0.2438
K5 0.7025 0.4051 0.0834
K6 0.4579 0.9157 0.2609

Output
energy of formation = -2.3 kJ/mol of atoms
space-group type = No. 12



(4)
Density functional theory data (PBE-GGA) for an optimized crystal structure of TmLuCoPt.

a b c (Å): 4.7627 4.7627 4.7627
angles (deg): 60.00 60.00 60.00
Each line ends with the local moment (μB).
Atoms (fractional coordinates):
Pt1 0.7500 0.7500 0.7500  0.04
Co1 0.2500 0.2500 0.2500  0.74
Tm1 0.5000 0.5000 0.5000  -0.11
Lu1 0.0000 0.0000 0.0000  -0.09

Output
energy of formation = -73.2 kJ/mol of atoms
space-group type = No. 216



(5)
Density functional theory data (PBE-GGA) for an optimized crystal structure of Hf2TcHRu.

a b c (Å): 4.6302 4.6302 3.3656
angles (deg): 90.00 90.00 90.00
Atoms (fractional coordinates):
Hf1 0.0000 0.5000 0.0000
H1 0.0000 0.0000 0.0000
Tc1 0.0000 0.0000 0.5000
Hf2 0.5000 0.0000 0.0000
Ru1 0.5000 0.5000 0.5000

Output
polymorph energy (0 for the lowest one) = 0.00 eV per formula unit
space-group type = No. 123



(6)
Density functional theory data (PBE-GGA) for an optimized crystal structure of NiCl.

a b c (Å): 8.9183 8.9183 3.6664
angles (deg): 90.00 90.00 120.00
Each line ends with the local moment (μB).
Atoms (fractional coordinates):
Ni1 0.9816 0.4005 0.2500  0.92
Cl1 0.8681 0.6000 0.2500  0.10
Ni2 0.0184 0.5995 0.7500  0.92
Ni3 0.4189 0.0184 0.2500  0.92
Cl2 0.6000 0.7318 0.7500  0.10
Cl3 0.4000 0.2682 0.2500  0.10
Ni4 0.5811 0.9816 0.7500  0.92
Cl4 0.1319 0.4000 0.7500  0.10
Cl5 0.7318 0.1319 0.2500  0.10
Ni5 0.5995 0.5811 0.2500  0.92
Ni6 0.4005 0.4189 0.7500  0.92
Cl6 0.2682 0.8681 0.7500  0.10

Output
formation energy from raw total energies = -0.219 eV/f.u.
space-group type = No. 176